No. 1
# MgTi3Rh | Alexandria via LeMat-Bulk | PBE | relaxed
data_MgTi3Rh
_chemical_formula_sum 'Mg1 Ti3 Rh1'
_space_group_name_H-M_alt 'P 1'
_space_group_IT_number 1
_cell_length_a 4.762
_cell_length_b 4.762
_cell_length_c 4.762
_cell_angle_alpha 90.00
_cell_angle_beta 90.00
_cell_angle_gamma 90.00
loop_
_space_group_symop_operation_xyz
'x,y,z'
loop_
_atom_site_label
_atom_site_fract_x
_atom_site_fract_y
_atom_site_fract_z
Mg1 0.000 0.000 0.000
Ti1 0.000 0.500 0.500
Ti2 0.500 0.000 0.500
Ti3 0.500 0.500 0.000
Rh1 0.500 0.500 0.500
# DOS at the Fermi energy   9.1 states/eV/cell
# M_tot   0.0 Bohr magnetons per cell
# Space group   Pm-3m, No. 221
# E_form   0.33 eV/atom
# DFT total energy   -31.0 eV per formula unit
# Energy above the lowest structure with this stoichiometry   0.0 meV per atom



No. 2
# Mg3TiRh4 | Alexandria via LeMat-Bulk | PBE | relaxed
data_Mg3TiRh4
_chemical_formula_sum 'Mg3 Ti1 Rh4'
_space_group_name_H-M_alt 'P 1'
_space_group_IT_number 1
_cell_length_a 7.587
_cell_length_b 7.587
_cell_length_c 7.587
_cell_angle_alpha 33.72
_cell_angle_beta 33.72
_cell_angle_gamma 33.72
loop_
_space_group_symop_operation_xyz
'x,y,z'
loop_
_atom_site_label
_atom_site_fract_x
_atom_site_fract_y
_atom_site_fract_z
Mg1 0.000 0.000 0.000
Mg2 0.252 0.252 0.252
Mg3 0.748 0.748 0.748
Ti1 0.500 0.500 0.500
Rh1 0.128 0.128 0.128
Rh2 0.379 0.379 0.379
Rh3 0.621 0.621 0.621
Rh4 0.872 0.872 0.872
# DOS at the Fermi energy   3.8 states/eV/cell
# M_tot   0.0 Bohr magnetons per cell
# Space group   R-3m, No. 166
# E_form   -0.66 eV/atom
# DFT total energy   -47.4 eV per formula unit